# 1
## NaPmIn4 (PBE-GGA)

Data for a geometry-optimized NaPmIn4 structure.

The space group is F-43m (No. 216) and the conventional cell measures 8.653, 8.653 and 8.653 Å, with angles of 90.00, 90.00 and 90.00 degrees. The distinct sites, in fractional coordinates, are Na at (0.000, 0.000, 0.000), Pm at (0.250, 0.250, 0.250) and In at (0.125, 0.125, 0.625).

The calculation puts the density of states at the Fermi level at 0.665 states/eV per atom. For the energy relative to the elements, the calculation gives -0.213 eV/atom. The calculated volume is 162.0 Å³/f.u. For the energy above the most stable polymorph in this dataset, the calculation gives 0.054 eV/atom.

---

# 2
## PO (PBE-GGA)

Data for a geometry-optimized PO structure.

The space group is I-43m (No. 217) and the conventional cell measures 6.751, 6.751 and 6.751 Å, with angles of 90.00, 90.00 and 90.00 degrees. The distinct sites, in fractional coordinates, are P at (0.120, 0.120, 0.880) and O at (0.249, 0.249, 0.751).

The calculation puts the density of states at the Fermi level at 0.045 states/eV per atom. The calculated volume is 38.5 Å³/f.u. For the energy above the most stable polymorph in this dataset, the calculation gives 0.548 eV/atom. For the uncorrected formation energy, the calculation gives -0.523 eV/atom.

---

# 3
## CsHfMo2 (PBE-GGA)

Data for a geometry-optimized CsHfMo2 structure.

The space group is I-42d (No. 122) and the conventional cell measures 4.827, 4.827 and 19.435 Å, with angles of 90.00, 90.00 and 90.00 degrees. The distinct sites, in fractional coordinates, are Cs at (0.000, 0.000, 0.000), Hf at (0.000, 0.000, 0.500) and Mo at (0.080, 0.750, 0.625).

The calculation puts the density of states at the Fermi level at 1.509 states/eV per atom. For the energy relative to the elements, the calculation gives 1.829 eV/atom. The calculated volume is 113.2 Å³/f.u. For the energy above the most stable polymorph in this dataset, the calculation gives 0.140 eV/atom.

---

# 4
## Hf3ScAl (PBE-GGA)

Data for a geometry-optimized Hf3ScAl structure.

The space group is Cmcm (No. 63) and the conventional cell measures 5.694, 14.865 and 5.342 Å, with angles of 90.00, 90.00 and 90.00 degrees. The distinct sites, in fractional coordinates, are Hf at (0.000, 0.000, 0.000), Hf at (0.245, 0.171, 0.250), Sc at (0.000, 0.426, 0.250) and Al at (0.000, 0.165, 0.750).

The calculation puts the density of states at the Fermi level at 1.343 states/eV per atom. For the energy relative to the elements, the calculation gives 0.109 eV/atom. The calculated volume is 113.0 Å³/f.u. For the energy above the most stable polymorph in this dataset, the calculation gives 0.000 eV/atom.

---

# 5
## SiAgCl (PBE-GGA)

Data for a geometry-optimized SiAgCl structure.

The space group is P3m1 (No. 156) and the conventional cell measures 3.6032, 3.6032 and 5.4986 Å, with angles of 90.00, 90.00 and 120.00 degrees. The distinct sites, in fractional coordinates, are Si at (0.0000, 0.0000, 0.0000), Ag at (0.6667, 0.3333, 0.2774) and Cl at (0.3333, 0.6667, 0.6477).

The calculation puts the density of states at the Fermi level at 0.493 states/eV per atom. The calculated volume is 61.8 Å³/f.u. For the energy above the most stable polymorph in this dataset, the calculation gives 0.302 eV/atom. For the uncorrected formation energy, the calculation gives 0.191 eV/atom.

---

# 6
## Pr2Pd3Pb (PBE-GGA)

Data for a geometry-optimized Pr2Pd3Pb structure.

The space group is P6_3/mmc (No. 194) and the conventional cell measures 4.7249, 4.7249 and 14.7459 Å, with angles of 90.00, 90.00 and 120.00 degrees. The distinct sites, in fractional coordinates, are Pr at (0.0000, 0.0000, 0.1180), Pd at (0.3333, 0.6667, 0.0090), Pd at (0.3333, 0.6667, 0.7500) and Pb at (0.3333, 0.6667, 0.2500).

The calculation puts the density of states at the Fermi level at 0.505 states/eV per atom. For the energy relative to the elements, the calculation gives -0.637 eV/atom. The calculated volume is 142.5 Å³/f.u. For the energy above the most stable polymorph in this dataset, the calculation gives 0.000 eV/atom.

---

# 7
## ZnIr2Cl (PBE-GGA)

Data for a geometry-optimized ZnIr2Cl structure.

The space group is Cmmm (No. 65) and the conventional cell measures 5.761, 7.246 and 2.862 Å, with angles of 90.00, 90.00 and 90.00 degrees. The distinct sites, in fractional coordinates, are Zn at (0.000, 0.000, 0.000), Ir at (0.250, 0.250, 0.500) and Cl at (0.000, 0.500, 0.000).

The calculation puts the density of states at the Fermi level at 0.738 states/eV per atom. The calculated volume is 59.7 Å³/f.u. For the energy above the most stable polymorph in this dataset, the calculation gives 0.605 eV/atom. For the uncorrected formation energy, the calculation gives 0.749 eV/atom.

---

# 8
## NaYFe2 (PBE-GGA)

Data for a geometry-optimized NaYFe2 structure.

The space group is I-42d (No. 122) and the conventional cell measures 7.559, 7.559 and 5.525 Å, with angles of 90.00, 90.00 and 90.00 degrees. The distinct sites, in fractional coordinates, are Na at (0.000, 0.000, 0.000), Y at (0.000, 0.000, 0.500) and Fe at (0.240, 0.250, 0.125).

The calculation puts the density of states at the Fermi level at 1.009 states/eV per atom. For the energy relative to the elements, the calculation gives 0.866 eV/atom. The calculated volume is 78.9 Å³/f.u. For the energy above the most stable polymorph in this dataset, the calculation gives 0.140 eV/atom.

---

# 9
## VCo2CuPt (PBE-GGA)

Data for a geometry-optimized VCo2CuPt structure.

The space group is P4/mmm (No. 123) and the conventional cell measures 4.072, 4.072 and 4.460 Å, with angles of 90.00, 90.00 and 90.00 degrees. The distinct sites, in fractional coordinates, are V at (0.000, 0.000, 0.000), Co at (0.000, 0.500, 0.000), Cu at (0.000, 0.000, 0.500) and Pt at (0.500, 0.500, 0.500).

The calculation puts the density of states at the Fermi level at 1.060 states/eV per atom. For the energy relative to the elements, the calculation gives 1.078 eV/atom. The calculated volume is 74.0 Å³/f.u.

---

# 10
## Ba2PrB2S6 (PBE-GGA)

Data for a geometry-optimized Ba2PrB2S6 structure.

The space group is C2/m (No. 12) and the conventional cell measures 11.576, 6.561 and 8.291 Å, with angles of 90.00, 119.22 and 90.00 degrees. The distinct sites, in fractional coordinates, are Ba at (0.210, 0.000, 0.206), Pr at (0.000, 0.000, 0.500), B at (0.046, 0.500, 0.255), S at (0.045, 0.259, 0.807) and S at (0.227, 0.500, 0.360).

The calculation puts the density of states at the Fermi level at 0.353 states/eV per atom. The calculated volume is 274.8 Å³/f.u. For the uncorrected formation energy, the calculation gives -1.303 eV/atom.

---

# 11
## Rb2BSe (PBE-GGA)

Data for a geometry-optimized Rb2BSe structure.

The space group is I-42d (No. 122) and the conventional cell measures 5.465, 5.465 and 21.135 Å, with angles of 90.00, 90.00 and 90.00 degrees. The distinct sites, in fractional coordinates, are Rb at (0.241, 0.250, 0.125), B at (0.000, 0.000, 0.000) and Se at (0.000, 0.000, 0.500).

The calculation puts the density of states at the Fermi level at 0.000 states/eV per atom. The calculated volume is 157.8 Å³/f.u. For the energy above the most stable polymorph in this dataset, the calculation gives 0.182 eV/atom. For the uncorrected formation energy, the calculation gives 0.739 eV/atom.

---

# 12
## BaNa3Ti (PBE-GGA)

Data for a geometry-optimized BaNa3Ti structure.

The space group is Pm-3m (No. 221) and the conventional cell measures 5.952, 5.952 and 5.952 Å, with angles of 90.00, 90.00 and 90.00 degrees. The distinct sites, in fractional coordinates, are Ba at (0.000, 0.000, 0.000), Na at (0.000, 0.500, 0.500) and Ti at (0.500, 0.500, 0.500).

The calculation puts the density of states at the Fermi level at 0.915 states/eV per atom. For the energy relative to the elements, the calculation gives 0.717 eV/atom. The calculated volume is 210.8 Å³/f.u. For the energy above the most stable polymorph in this dataset, the calculation gives 0.000 eV/atom.